The following is a DFT calculation (PBE-GGA) of CrBi2H after structural relaxation.

abc: 6.8637 6.8637 6.0174
angles: 55.23 55.23 90.00
Last column: nearest neighbours and their distance in Å.
Fractional coordinates of all 8 atoms:
Bi (0.5554, 0.1250, 0.2500)  2 H 2.30
Bi (0.1946, 0.6250, 0.2500)  2 H 2.30
Bi (0.3750, 0.4446, 0.7500)  2 H 2.30
Bi (0.8750, 0.8054, 0.7500)  2 H 2.30
Cr (0.0000, 0.0000, 0.0000)  4 Bi 2.92
Cr (0.7500, 0.2500, 0.5000)  4 Bi 2.92
H (0.5000, 0.5000, 0.0000)  4 Bi 2.30
H (0.2500, 0.7500, 0.5000)  4 Bi 2.30

Calculated values
distance to the lowest polymorph of the same formula: 0.0000 eV/atom

***

The following is a DFT calculation (PBE-GGA) of Cs3P2Pt4 after structural relaxation.

abc: 4.1802 7.1950 9.1957
angles: 81.66 90.00 106.89
Last column: nearest neighbours and their distance in Å.
Fractional coordinates of all 9 atoms:
P (0.6058, 0.2117, 0.2900)  3 Pt 2.22-2.26
P (0.3942, 0.7883, 0.7100)  3 Pt 2.22-2.26
Pt (0.7099, 0.4199, 0.0800)  1 P 2.22
Pt (0.9346, 0.8692, 0.6284)  2 P 2.26
Pt (0.0654, 0.1308, 0.3716)  2 P 2.26
Pt (0.2901, 0.5801, 0.9200)  1 P 2.22
Cs (0.6655, 0.3309, 0.6721)  8 Pt 3.67-3.89, 4 P 3.70-3.84, 2 Cs 4.07
Cs (0.0000, 0.0000, 0.0000)  8 Pt 3.66-3.95, 4 P 3.84, 4 Cs 4.07
Cs (0.3345, 0.6691, 0.3279)  8 Pt 3.67-3.89, 4 P 3.70-3.84, 2 Cs 4.07

Calculated values
DFT formation energy: -0.360 eV per atom

***

The following is a DFT calculation (PBE-GGA) of CaPuAlHg after structural relaxation.

abc: 5.2788 5.2788 5.2788
angles: 60.00 60.00 60.00
Last column: nearest neighbours and their distance in Å.
Fractional coordinates of all 4 atoms:
Pu (0.0000, 0.0000, 0.0000)  4 Hg 3.23, 4 Al 3.23
Al (0.7500, 0.7500, 0.7500)  4 Ca 3.23, 4 Pu 3.23
Hg (0.2500, 0.2500, 0.2500)  4 Ca 3.23, 4 Pu 3.23
Ca (0.5000, 0.5000, 0.5000)  4 Hg 3.23, 4 Al 3.23

Calculated values
DFT formation energy: -0.179 eV per atom

***

The following is a DFT calculation (PBE-GGA) of K3Pa3SnTe8 after structural relaxation.

abc: 9.0011 9.0015 9.8090
angles: 117.33 90.00 120.00
Last column: nearest neighbours and their distance in Å.
Fractional coordinates of all 15 atoms:
Pa (0.5000, 0.0000, 0.5000)  6 Te 3.09-3.14
Pa (0.5000, 0.5000, 0.5000)  6 Te 3.09-3.14
Pa (0.0000, 0.5000, 0.5000)  6 Te 3.09-3.14
Te (0.7253, 0.9674, 0.7093)  2 Pa 3.09, 1 Sn 3.20
Te (0.7579, 0.5158, 0.2906)  2 Pa 3.09, 1 Sn 3.20
Te (0.7376, 0.4751, 0.7126)  3 Pa 3.14
Te (0.2420, 0.9674, 0.7093)  2 Pa 3.09, 1 Sn 3.20
Te (0.2421, 0.4842, 0.7094)  2 Pa 3.09, 1 Sn 3.20
Te (0.2624, 0.5249, 0.2874)  3 Pa 3.14
Te (0.7580, 0.0326, 0.2907)  2 Pa 3.09, 1 Sn 3.20
Te (0.2747, 0.0326, 0.2907)  2 Pa 3.09, 1 Sn 3.20
K (0.5000, 0.5000, 0.0000)  6 Te 3.53-3.58
K (0.0000, 0.0000, 0.0000)  6 Te 3.53-3.58
K (0.0000, 0.5000, 0.0000)  6 Te 3.53-3.58
Sn (0.0000, 0.0000, 0.5000)  6 Te 3.20

Calculated values
formation energy (no corrections): -12.90 eV per formula unit

***

The following is a DFT calculation (PBE-GGA) of Tb6Nd12Pu after structural relaxation.

abc: 9.6067 9.6067 9.6067
angles: 110.92 110.92 110.92
Last column: nearest neighbours and their distance in Å.
Fractional coordinates of all 19 atoms:
Nd (0.1039, 0.1554, 0.7398)  1 Pu 3.59, 8 Nd 3.59-3.67, 3 Tb 3.61-3.72
Nd (0.0571, 0.5813, 0.3723)  4 Tb 3.61-3.68, 8 Nd 3.62-3.67
Nd (0.5813, 0.3723, 0.0571)  4 Tb 3.61-3.68, 8 Nd 3.62-3.67
Nd (0.7398, 0.1039, 0.1554)  1 Pu 3.59, 8 Nd 3.59-3.67, 3 Tb 3.61-3.72
Nd (0.1554, 0.7398, 0.1039)  1 Pu 3.59, 8 Nd 3.59-3.67, 3 Tb 3.61-3.72
Nd (0.8446, 0.2602, 0.8961)  1 Pu 3.59, 8 Nd 3.59-3.67, 3 Tb 3.61-3.72
Nd (0.2602, 0.8961, 0.8446)  1 Pu 3.59, 8 Nd 3.59-3.67, 3 Tb 3.61-3.72
Nd (0.8961, 0.8446, 0.2602)  1 Pu 3.59, 8 Nd 3.59-3.67, 3 Tb 3.61-3.72
Nd (0.9429, 0.4187, 0.6277)  4 Tb 3.61-3.68, 8 Nd 3.62-3.67
Nd (0.4187, 0.6277, 0.9429)  4 Tb 3.61-3.68, 8 Nd 3.62-3.67
Nd (0.6277, 0.9429, 0.4187)  4 Tb 3.61-3.68, 8 Nd 3.62-3.67
Nd (0.3723, 0.0571, 0.5813)  4 Tb 3.61-3.68, 8 Nd 3.62-3.67
Pu (0.0000, 0.0000, 0.0000)  6 Nd 3.59, 6 Tb 3.60
Tb (0.5307, 0.7881, 0.6849)  4 Tb 3.55-3.62, 1 Pu 3.60, 7 Nd 3.61-3.72
Tb (0.3151, 0.4693, 0.2119)  4 Tb 3.55-3.62, 1 Pu 3.60, 7 Nd 3.61-3.72
Tb (0.6849, 0.5307, 0.7881)  4 Tb 3.55-3.62, 1 Pu 3.60, 7 Nd 3.61-3.72
Tb (0.2119, 0.3151, 0.4693)  4 Tb 3.55-3.62, 1 Pu 3.60, 7 Nd 3.61-3.72
Tb (0.4693, 0.2119, 0.3151)  4 Tb 3.55-3.62, 1 Pu 3.60, 7 Nd 3.61-3.72
Tb (0.7881, 0.6849, 0.5307)  4 Tb 3.55-3.62, 1 Pu 3.60, 7 Nd 3.61-3.72

Calculated values
DFT formation energy: 0.036 eV per atom

***

The following is a DFT calculation (PBE-GGA) of Li2PrSm2Tl2 after structural relaxation.

abc: 4.9299 4.9299 9.5249
angles: 75.00 75.00 60.00
Last column: nearest neighbours and their distance in Å.
Fractional coordinates of all 7 atoms:
Li (0.3992, 0.3992, 0.8024)  3 Tl 2.85
Li (0.6008, 0.6008, 0.1976)  3 Tl 2.85
Pr (0.0000, 0.0000, 0.0000)  6 Li 3.37, 6 Tl 3.46, 2 Sm 3.47
Tl (0.2612, 0.2612, 0.2164)  3 Li 2.85
Tl (0.7388, 0.7388, 0.7836)  3 Li 2.85
Sm (0.1274, 0.1274, 0.6177)  3 Tl 3.22, 3 Li 3.30, 1 Pr 3.47, 3 Sm 3.56
Sm (0.8726, 0.8726, 0.3823)  3 Tl 3.22, 3 Li 3.30, 1 Pr 3.47, 3 Sm 3.56

Calculated values
DFT formation energy: -0.200 eV per atom